# 1
Compound: YHfZr3
Source: the Alexandria database
Functional: PBE-GGA
Structure: optimized geometry

Cell: 5.136 5.136 5.136 Å, 90.00 90.00 90.00°
Element x y z (fractional)
Y 0.000 0.000 0.000
Hf 0.500 0.500 0.500
Zr 0.000 0.500 0.000
Zr 0.000 0.000 0.500
Zr 0.500 0.000 0.000

Computed properties:
Density of states at the Fermi level = 1.648 states/eV/atom
Relative energy among the computed polymorphs = 2.95 eV/f.u.
Magnetic moment = 0.0 μB per formula unit
Formation energy from the elements = 1.379 eV/atom
Total energy = -35.17 eV/f.u.

=====

# 2
Compound: Li8Sb2P
Source: the Alexandria database
Functional: PBE-GGA
Structure: optimized geometry

Cell: 4.517 6.257 7.831 Å, 113.54 106.76 90.00°
Element x y z (fractional)
Li 0.361 0.609 0.721
Li 0.640 0.888 0.279
Li 0.816 0.815 0.632
Li 0.000 0.238 0.000
Li 0.184 0.185 0.368
Li 0.360 0.112 0.721
Li 0.639 0.391 0.279
Li 0.000 0.762 0.000
Sb 0.822 0.322 0.645
Sb 0.178 0.678 0.355
P 0.500 0.000 0.000

Computed properties:
Density of states at the Fermi level = 0.372 states/eV/atom
Relative energy among the computed polymorphs = 0.00 eV/f.u.
Magnetic moment = 0.0 μB per formula unit
Formation energy (no corrections) = -595 meV per atom
Total energy = -35.51 eV/f.u.

=====

# 3
Compound: Mg2ZrPb
Source: the Alexandria database
Functional: PBE-GGA
Structure: optimized geometry

Cell: 8.213 8.213 6.526 Å, 51.01 51.01 90.00°
Element x y z (fractional)
Pb 0.000 0.000 0.000
Pb 0.750 0.250 0.500
Mg 0.640 0.125 0.250
Mg 0.110 0.625 0.250
Mg 0.375 0.360 0.750
Mg 0.875 0.890 0.750
Zr 0.500 0.500 0.000
Zr 0.250 0.750 0.500

Computed properties:
Density of states at the Fermi level = 0.450 states/eV/atom
Magnetic moment = 0.0 μB per formula unit
Formation energy from the elements = 0.241 eV/atom
Total energy = -14.48 eV/f.u.

=====

# 4
Compound: NaNb2F
Source: the Alexandria database
Functional: PBE-GGA
Structure: optimized geometry

Cell: 4.616 4.616 4.616 Å, 60.00 60.00 60.00°
Each line ends with the local moment (μB).
Element x y z (fractional)
Na 0.500 0.500 0.500  0.03
Nb 0.250 0.250 0.250  0.65
Nb 0.750 0.750 0.750  0.65
F 0.000 0.000 0.000  0.07

Computed properties:
Density of states at the Fermi level = 0.930 states/eV/atom
Relative energy among the computed polymorphs = 1.84 eV/f.u.
Magnetic moment = 1.8 μB per formula unit
Formation energy (no corrections) = 966 meV per atom
Total energy = -19.47 eV/f.u.

=====

# 5
Compound: K2Rb4As
Source: the Alexandria database
Functional: PBE-GGA
Structure: optimized geometry

Cell: 6.733 6.733 13.805 Å, 75.89 75.89 90.00°
Element x y z (fractional)
As 0.000 0.000 0.000
K 0.298 0.298 0.403
K 0.702 0.702 0.597
Rb 0.127 0.127 0.745
Rb 0.873 0.873 0.255
Rb 0.000 0.500 0.000
Rb 0.500 0.000 0.000

Computed properties:
Density of states at the Fermi level = 0.961 states/eV/atom
Relative energy among the computed polymorphs = 0.48 eV/f.u.
Magnetic moment = 0.0 μB per formula unit
Formation energy from the elements = -0.059 eV/atom
Total energy = -11.13 eV/f.u.

=====

# 6
Compound: PuTh2Si3Rh4
Source: the Alexandria database
Functional: PBE-GGA
Structure: optimized geometry

Cell: 4.169 4.169 10.830 Å, 90.00 90.00 90.00°
Each line ends with the local moment (μB).
Element x y z (fractional)
Pu 0.500 0.500 0.500  4.89
Th 0.500 0.000 0.234  0.06
Th 0.000 0.500 0.766  0.06
Si 0.000 0.000 0.500  -0.07
Si 0.500 0.000 0.881  0.00
Si 0.000 0.500 0.119  0.00
Rh 0.500 0.500 0.000  0.01
Rh 0.000 0.000 0.000  0.00
Rh 0.500 0.000 0.659  -0.09
Rh 0.000 0.500 0.341  -0.09

Computed properties:
Density of states at the Fermi level = 0.953 states/eV/atom
Magnetic moment = 5.0 μB per formula unit
Formation energy (no corrections) = -924 meV per atom
Total energy = -84.08 eV/f.u.

=====

# 7
Compound: NpSn2Pt
Source: the Alexandria database
Functional: PBE-GGA
Structure: optimized geometry

Cell: 4.511 4.455 4.455 Å, 90.00 90.00 90.00°
Each line ends with the local moment (μB).
Element x y z (fractional)
Np 0.500 0.500 0.500  3.81
Sn 0.000 0.000 0.500  0.02
Sn 0.000 0.500 0.000  0.02
Pt 0.500 0.000 0.000  0.01

Computed properties:
Density of states at the Fermi level = 2.476 states/eV/atom
Magnetic moment = 4.1 μB per formula unit
Formation energy from the elements = -0.228 eV/atom
Total energy = -27.90 eV/f.u.

=====

# 8
Compound: Pr3Ge6Pd20
Source: the Alexandria database
Functional: PBE-GGA
Structure: optimized geometry

Cell: 8.916 8.916 8.916 Å, 60.00 60.00 60.00°
Element x y z (fractional)
Pr 0.750 0.750 0.750
Pr 0.250 0.250 0.250
Pr 0.000 0.000 0.000
Ge 0.268 0.732 0.732
Ge 0.732 0.268 0.268
Ge 0.268 0.268 0.732
Ge 0.732 0.268 0.732
Ge 0.268 0.732 0.268
Ge 0.732 0.732 0.268
Pd 0.384 0.384 0.849
Pd 0.151 0.616 0.616
Pd 0.651 0.000 0.000
Pd 0.651 0.349 0.000
Pd 0.000 0.000 0.651
Pd 0.384 0.849 0.384
Pd 0.000 0.349 0.651
Pd 0.651 0.000 0.349
Pd 0.000 0.651 0.000
Pd 0.000 0.000 0.349
Pd 0.349 0.000 0.651
Pd 0.000 0.349 0.000
Pd 0.349 0.651 0.000
Pd 0.349 0.000 0.000
Pd 0.384 0.384 0.384
Pd 0.616 0.616 0.151
Pd 0.616 0.616 0.616
Pd 0.616 0.151 0.616
Pd 0.849 0.384 0.384
Pd 0.000 0.651 0.349

Computed properties:
Density of states at the Fermi level = 0.281 states/eV/atom
Magnetic moment = 0.0 μB per formula unit
Formation energy from the elements = -0.650 eV/atom
Total energy = -164.74 eV/f.u.